This record from Alexandria via LeMat-Bulk describes a relaxed MnPtAu2 crystal. The functional is PBE.

```
8
Lattice="-3.687 3.687 2.696 3.687 -3.687 2.696 3.687 3.687 -2.696" Properties=species:S:1:pos:R:3 pbc="T T T"
Mn 0.000 0.000 0.000
Mn 0.000 3.687 1.348
Pt 3.687 0.000 1.348
Pt 0.000 0.000 2.696
Au 5.530 1.793 -0.674
Au 1.793 1.843 0.674
Au -1.843 1.893 2.022
Au 1.893 1.843 3.369
```

Results
The calculated formation energy comes out at 0.18 eV/atom.

This record from Alexandria via LeMat-Bulk describes a relaxed HfNbCo2 crystal. The functional is PBE.

```
16
Lattice="5.627 0.000 0.000 0.000 6.027 0.000 0.000 0.000 8.102" Properties=species:S:1:pos:R:3 pbc="T T T"
Hf 1.407 0.000 1.449
Hf 1.407 3.014 2.199
Hf 4.220 0.000 6.652
Hf 4.220 3.014 5.903
Nb 1.407 0.000 6.403
Nb 1.407 3.014 6.239
Nb 4.220 0.000 1.698
Nb 4.220 3.014 1.863
Co 0.000 0.000 4.051
Co 0.000 3.014 0.000
Co 1.407 1.746 4.299
Co 1.407 4.282 4.299
Co 2.813 0.000 4.051
Co 2.813 3.014 0.000
Co 4.220 1.746 3.802
Co 4.220 4.282 3.802
```

Results
The calculated formation energy comes out at 0.60 eV/atom. For the excess energy over the best structure of this formula in the dataset, the calculation gives 790.9 meV/atom.

This record from Alexandria via LeMat-Bulk describes a relaxed AcCe3Nd2N6 crystal. The functional is PBE.

```
12
Lattice="7.957 -1.819 0.000 7.957 1.819 0.000 -1.692 0.000 7.103" Properties=species:S:1:pos:R:3 pbc="T T T"
Ac 0.000 0.000 0.000
Ce -0.846 0.000 3.552
Ce 4.981 0.000 1.199
Ce 9.241 0.000 5.905
Nd 4.148 0.000 4.705
Nd 10.073 0.000 2.398
N 1.622 0.000 4.208
N 2.667 0.000 0.547
N 7.426 0.000 1.945
N 6.795 0.000 5.158
N 11.554 0.000 6.556
N 12.599 0.000 2.895
```

Results
Its uncorrected formation energy is -1.38 eV/atom.

This record from Alexandria via LeMat-Bulk describes a relaxed TlSi3 crystal. The functional is PBE.

```
4
Lattice="3.643 -1.840 0.000 3.643 1.840 0.000 -1.950 0.000 6.186" Properties=species:S:1:pos:R:3 pbc="T T T"
Tl 0.000 0.000 0.000
Si 0.381 0.000 4.058
Si 2.668 0.000 3.093
Si 4.955 0.000 2.128
```

Results
Its uncorrected formation energy is 0.42 eV/atom. For the excess energy over the best structure of this formula in the dataset, the calculation gives 51.2 meV/atom.

This record from Alexandria via LeMat-Bulk describes a relaxed Ac3Pm2In3 crystal. The functional is PBE.

```
8
Lattice="-2.276 2.712 11.146 2.276 -2.712 11.146 2.276 2.712 -11.146" Properties=species:S:1:pos:R:3 pbc="T T T"
Ac 0.000 0.000 0.000
Ac 2.276 0.000 8.424
Ac 0.000 2.712 2.721
Pm 0.000 0.000 5.246
Pm 0.000 0.000 17.045
In 2.276 0.000 2.951
In 0.000 0.000 11.146
In 0.000 2.712 8.194
```

Results
The calculated formation energy comes out at -0.31 eV/atom.

This record from Alexandria via LeMat-Bulk describes a relaxed BeTcTe2I crystal. The functional is PBE.

```
5
Lattice="4.852 0.000 0.000 0.000 4.852 0.000 0.000 0.000 4.959" Properties=species:S:1:pos:R:3 pbc="T T T"
Be 0.000 0.000 0.000
Tc 2.426 2.426 2.480
Te 0.000 2.426 0.000
Te 2.426 0.000 0.000
I 0.000 0.000 2.480
```

Results
Its uncorrected formation energy is 1.11 eV/atom. For the excess energy over the best structure of this formula in the dataset, the calculation gives 189.1 meV/atom.

This record from Alexandria via LeMat-Bulk describes a relaxed Mn2MoAu crystal. The functional is PBE.

```
4
Lattice="2.709 0.000 0.000 0.000 2.709 0.000 0.000 0.000 7.894" Properties=species:S:1:pos:R:3 pbc="T T T"
Mn 0.000 0.000 0.000
Mn 1.354 1.354 1.588
Mo 0.000 0.000 3.520
Au 1.354 1.354 5.769
```

Results
The calculated formation energy comes out at 0.16 eV/atom. For the excess energy over the best structure of this formula in the dataset, the calculation gives 36.7 meV/atom.

This record from Alexandria via LeMat-Bulk describes a relaxed Tb2NiI crystal. The functional is PBE.

```
4
Lattice="1.779 1.027 10.148 -1.779 1.027 10.148 0.000 -2.054 10.148" Properties=species:S:1:pos:R:3 pbc="T T T"
Tb 0.000 0.000 2.521
Tb 0.000 0.000 27.924
Ni 0.000 0.000 0.000
I 0.000 0.000 15.222
```

Results
Its uncorrected formation energy is 0.18 eV/atom. For the excess energy over the best structure of this formula in the dataset, the calculation gives 858.4 meV/atom.

This record from Alexandria via LeMat-Bulk describes a relaxed Cu2AgHg crystal. The functional is PBE.

```
4
Lattice="3.015 0.000 0.000 0.000 3.567 0.000 0.000 0.000 5.943" Properties=species:S:1:pos:R:3 pbc="T T T"
Cu 0.000 0.000 1.397
Cu 0.000 0.000 4.546
Ag 1.507 1.784 0.000
Hg 1.507 1.784 2.971
```

Results
The calculated formation energy comes out at 0.15 eV/atom.

This record from Alexandria via LeMat-Bulk describes a relaxed La9DyTm4 crystal. The functional is PBE.

```
28
Lattice="10.034 0.000 0.000 -5.017 8.690 0.000 0.000 0.000 11.458" Properties=species:S:1:pos:R:3 pbc="T T T"
La -1.930 4.679 2.864
La 0.000 3.595 6.062
La 0.000 3.595 11.125
La -1.903 6.892 6.062
La -1.903 6.892 11.125
La 3.114 1.798 0.333
La 3.114 1.798 5.396
La 1.930 4.679 2.864
La 0.000 8.022 2.864
La 5.017 0.668 8.593
La 3.087 4.011 8.593
La 1.903 6.892 6.062
La 1.903 6.892 11.125
La 6.921 1.798 0.333
La 6.921 1.798 5.396
La 5.017 5.095 0.333
La 5.017 5.095 5.396
La 6.947 4.011 8.593
Dy 0.000 5.793 8.593
Dy 5.017 2.897 2.864
Tm 0.000 0.000 0.000
Tm 0.000 0.000 5.729
Tm 0.000 1.890 2.864
Tm -3.381 7.745 2.864
Tm 1.637 0.945 8.593
Tm 3.381 7.745 2.864
Tm 8.398 0.945 8.593
Tm 5.017 6.800 8.593
```

Results
The calculated formation energy comes out at 0.14 eV/atom.

This record from Alexandria via LeMat-Bulk describes a relaxed La12Er3Tm crystal. The functional is PBE.

```
16
Lattice="5.192 0.000 0.000 0.000 5.192 0.000 0.000 0.000 20.766" Properties=species:S:1:pos:R:3 pbc="T T T"
La 0.000 0.000 0.000
La 0.000 0.000 5.194
La 0.000 0.000 10.383
La 0.000 0.000 15.572
La 0.000 2.596 2.597
La 0.000 2.596 7.791
La 0.000 2.596 12.975
La 0.000 2.596 18.169
La 2.596 0.000 2.597
La 2.596 0.000 7.791
La 2.596 0.000 12.975
La 2.596 0.000 18.169
Er 2.596 2.596 0.000
Er 2.596 2.596 5.192
Er 2.596 2.596 15.574
Tm 2.596 2.596 10.383
```

Results
The calculated formation energy comes out at 0.01 eV/atom.

This record from Alexandria via LeMat-Bulk describes a relaxed ThVMo crystal. The functional is PBE.

```
18
Lattice="2.787 1.609 13.358 -2.787 1.609 13.358 0.000 -3.218 13.358" Properties=species:S:1:pos:R:3 pbc="T T T"
Th 0.000 0.000 1.747
Th 0.000 0.000 7.182
Th 0.000 0.000 10.520
Th 0.000 0.000 29.554
Th 0.000 0.000 32.892
Th 0.000 0.000 38.327
V -1.370 -0.791 22.217
V 0.000 -1.581 17.857
V -1.370 0.791 17.857
V 1.370 -0.791 22.217
V 0.000 1.581 22.217
V 1.370 0.791 17.857
Mo -1.393 -0.804 13.358
Mo 0.000 0.000 15.739
Mo -1.393 0.804 26.716
Mo 0.000 1.609 13.358
Mo 0.000 0.000 20.037
Mo 0.000 0.000 24.336
```

Results
The calculated formation energy comes out at 0.12 eV/atom.

This record from Alexandria via LeMat-Bulk describes a relaxed Ba6PBr3O2 crystal. The functional is PBE.

```
12
Lattice="3.699 -6.409 0.000 3.699 6.409 0.000 -2.489 0.000 7.922" Properties=species:S:1:pos:R:3 pbc="T T T"
Ba -0.115 2.301 6.352
Ba 1.038 0.000 1.549
Ba -0.115 -2.301 6.352
Ba 5.024 2.301 1.570
Ba 3.870 0.000 6.372
Ba 5.024 -2.301 1.570
P 3.699 0.000 0.000
Br -1.245 0.000 3.961
Br 2.454 2.028 3.961
Br 2.454 -2.028 3.961
O 3.699 4.259 0.000
O 3.699 -4.259 0.000
```

Results
Its uncorrected formation energy is -1.84 eV/atom.

This record from Alexandria via LeMat-Bulk describes a relaxed RbGaO2 crystal. The functional is PBE.

```
16
Lattice="5.763 0.000 0.000 0.000 8.303 0.000 0.000 0.000 5.713" Properties=species:S:1:pos:R:3 pbc="T T T"
Rb 0.052 1.016 0.000
Rb 2.830 5.167 2.856
Rb 2.934 3.135 0.000
Rb 5.711 7.287 2.856
Ga 0.153 5.181 5.645
Ga 2.729 1.030 2.788
Ga 3.035 7.273 5.645
Ga 5.610 3.122 2.788
O 0.067 4.645 3.848
O 1.009 1.704 3.126
O 1.872 5.855 0.269
O 2.815 0.494 0.992
O 2.949 7.809 3.848
O 3.891 2.447 3.126
O 4.754 6.599 0.269
O 5.696 3.658 0.992
```

Results
Its uncorrected formation energy is -1.79 eV/atom.

This record from Alexandria via LeMat-Bulk describes a relaxed AlHgPt2 crystal. The functional is PBE.

```
4
Lattice="0.000 3.215 3.215 3.215 0.000 3.215 3.215 3.215 0.000" Properties=species:S:1:pos:R:3 pbc="T T T"
Al 0.000 0.000 0.000
Hg 3.215 3.215 3.215
Pt 1.607 1.607 1.607
Pt 4.822 4.822 4.822
```

Results
The calculated formation energy comes out at -0.33 eV/atom. For the excess energy over the best structure of this formula in the dataset, the calculation gives 255.0 meV/atom.

This record from Alexandria via LeMat-Bulk describes a relaxed La5PmHo2Tm crystal. The functional is PBE.

```
18
Lattice="2.754 -10.842 0.000 2.754 10.842 0.000 0.000 0.000 10.675" Properties=species:S:1:pos:R:3 pbc="T T T"
La 2.754 10.837 0.000
La 2.754 -10.837 5.338
La 2.754 8.168 8.010
La 2.754 6.069 4.713
La 2.754 6.049 0.652
La 2.754 0.039 8.008
La 2.754 -0.039 2.670
La 2.754 -6.049 5.990
La 2.754 -6.069 10.050
La 2.754 -8.168 2.673
Pm 2.754 4.580 8.019
Pm 2.754 -4.580 2.681
Ho 2.754 2.445 5.335
Ho 2.754 2.431 0.007
Ho 2.754 -2.431 5.344
Ho 2.754 -2.445 10.673
Tm 2.754 8.665 2.672
Tm 2.754 -8.665 8.009
```

Results
The calculated formation energy comes out at 0.13 eV/atom.

This record from Alexandria via LeMat-Bulk describes a relaxed H2SeS crystal. The functional is PBE.

```
4
Lattice="2.592 0.000 0.000 0.000 5.410 0.000 0.000 0.000 4.511" Properties=species:S:1:pos:R:3 pbc="T T T"
H 0.000 1.044 0.000
H 0.000 4.366 0.000
Se 0.000 2.705 3.086
S 0.000 0.000 0.973
```

Results
For the excess energy over the best structure of this formula in the dataset, the calculation gives 101.9 meV/atom.

This record from Alexandria via LeMat-Bulk describes a relaxed La6Ni3BrCl2 crystal. The functional is PBE.

```
12
Lattice="9.421 -2.154 0.000 9.421 2.154 0.000 -3.289 0.000 8.389" Properties=species:S:1:pos:R:3 pbc="T T T"
La -0.459 0.000 1.912
La 4.544 0.000 3.649
La 3.590 0.000 7.547
La 11.963 0.000 0.843
La 11.009 0.000 4.741
La 16.012 0.000 6.478
Ni 2.050 0.000 2.783
Ni 9.421 0.000 0.000
Ni 13.504 0.000 5.606
Br 7.777 0.000 4.195
Cl 0.411 0.000 6.998
Cl 15.142 0.000 1.392
```

Results
Its uncorrected formation energy is -0.94 eV/atom.

This record from Alexandria via LeMat-Bulk describes a relaxed Re2HgSe crystal. The functional is PBE.

```
4
Lattice="4.086 -1.482 0.000 4.086 1.482 0.000 -1.016 0.000 5.700" Properties=species:S:1:pos:R:3 pbc="T T T"
Re 1.818 0.000 1.142
Re 5.338 0.000 4.557
Hg -0.508 0.000 2.850
Se 4.086 0.000 0.000
```

Results
Its uncorrected formation energy is 0.82 eV/atom. For the excess energy over the best structure of this formula in the dataset, the calculation gives 499.2 meV/atom.

This record from Alexandria via LeMat-Bulk describes a relaxed Cs2NaPrBr6 crystal. The functional is PBE.

```
10
Lattice="0.000 5.850 5.850 5.850 0.000 5.850 5.850 5.850 0.000" Properties=species:S:1:pos:R:3 pbc="T T T"
Cs 2.925 2.925 2.925
Cs 8.775 8.775 8.775
Na 0.000 0.000 0.000
Pr 5.850 5.850 5.850
Br 5.850 5.850 2.944
Br 5.850 2.944 5.850
Br 8.757 5.850 5.850
Br 2.944 5.850 5.850
Br 5.850 8.757 5.850
Br 5.850 5.850 8.757
```

Results
Its uncorrected formation energy is -1.82 eV/atom.

Total energy for every record listed, in sequence, given in eV per atom: -5.26 -7.96 -8.17 -4.24 -4.06 -3.28 -7.96 -3.96 -2.68 -4.63 -4.82 -9.00 -4.50 -5.27 -4.37 -4.65 -3.49 -5.30 -6.35 -3.61.